Sn3GeTe after structural relaxation, computed with PBE-GGA.

For the calculated density, the calculation gives 5.7 g/cm3. The uncorrected formation energy comes out at 0.395 eV/atom. The calculation puts the total energy at -3.559 eV/atom. As for the crystal system: cubic.

The structure in CIF format:
```
data_Sn3GeTe
_space_group_name_H-M_alt 'P m -3 m'
_space_group_IT_number 221
_space_group_name_Hall '-P 4 2 3'
_cell_length_a 5.438
_cell_length_b 5.438
_cell_length_c 5.438
_cell_angle_alpha 90.00
_cell_angle_beta 90.00
_cell_angle_gamma 90.00
loop_
_atom_site_label
_atom_site_type_symbol
_atom_site_fract_x
_atom_site_fract_y
_atom_site_fract_z
Sn1 Sn 0.000 0.000 0.500
Ge1 Ge 0.000 0.000 0.000
Te1 Te 0.500 0.500 0.500
```